A plane-wave DFT calculation with PBE with a Hubbard U was carried out for a relaxed SrCeEuNiO6 crystal.

The structure belongs to space group F-43m (No. 216); the cell edges are 8.1513, 8.1513 and 8.1513 Å and the angles 90.00°, 90.00° and 90.00°. The distinct sites, in fractional coordinates, are Sr at (0.0000, 0.0000, 0.0000), Ce at (0.2500, 0.2500, 0.7500), Eu at (0.0000, 0.0000, 0.5000), Ni at (0.2500, 0.2500, 0.2500) and O at (0.0161, 0.2500, 0.2500).

The value obtained for the final energy is -293.0 eV for the cell shown.